A relaxed structure of V2NiPd2Se6. Source: Alexandria via LeMat-Bulk, functional PBE.

Crystal system: monoclinic
Calculated volume (A^3/atom): 18.77
Symmetry: No. 12
ρ (g cm⁻³): 6.81
E_form (uncorrected) (eV/atom): -0.43

Lattice parameters (Å, degrees): 6.3695 6.3695 5.8928 91.08 91.08 120.22
Positions (direct):
V (0.1536, 0.8464, 0.0000)
V (0.8464, 0.1536, 0.0000)
Ni (0.5000, 0.5000, 0.0000)
Pd (0.1680, 0.8320, 0.5000)
Pd (0.8320, 0.1680, 0.5000)
Se (0.1770, 0.5019, 0.7735)
Se (0.1898, 0.1898, 0.2499)
Se (0.4981, 0.8230, 0.2265)
Se (0.5019, 0.1770, 0.7735)
Se (0.8102, 0.8102, 0.7501)
Se (0.8230, 0.4981, 0.2265)